1.
Hg2PtBrCl | Alexandria via LeMat-Bulk | PBE | relaxed; ΔE_f (raw) = 0.933 eV per atom; volume = 31.50 A^3/atom; space-group type = No. 123; raw total energy = -1.100 eV per atom
1.0
-5.5839 -0.8242 -0.7390
0.9217 -2.7423 -3.9057
0.2454 -4.6272 3.3067
Br Hg Pt Cl
1 2 1 1
direct
0.0000 0.0000 0.0000
0.0000 0.0000 0.5000
0.5000 0.0000 0.0000
0.5000 0.5000 0.5000
0.0000 0.5000 0.0000



2.
HgPt2BrCl | Alexandria via LeMat-Bulk | PBE | relaxed; ΔE_f (raw) = 1.099 eV per atom; volume = 27.05 A^3/atom; space-group type = No. 123; raw total energy = -2.082 eV per atom
1.0
5.2299 0.0000 0.0000
0.0000 4.9451 0.0000
0.0000 0.0000 5.2299
Br Hg Pt Cl
1 1 2 1
direct
0.5000 0.5000 0.5000
0.0000 0.0000 0.0000
0.0000 0.0000 0.5000
0.5000 0.0000 0.0000
0.0000 0.5000 0.0000



3.
Rb3Hg2Br2Cl5 | Alexandria via LeMat-Bulk | PBE | relaxed; ΔE_f (raw) = -1.223 eV per atom; volume = 33.64 A^3/atom; space-group type = No. 139; raw total energy = -2.564 eV per atom
1.0
5.4364 0.0000 0.0000
0.0000 5.4364 0.0000
-2.7182 -2.7182 13.6592
Rb Hg Br Cl
3 2 2 5
direct
0.1727 0.1727 0.3454
0.8273 0.8273 0.6546
0.0000 0.0000 0.0000
0.4015 0.4015 0.8029
0.5985 0.5985 0.1971
0.6982 0.6982 0.3963
0.3018 0.3018 0.6037
0.5931 0.0931 0.1863
0.4069 0.9069 0.8137
0.0931 0.5931 0.1863
0.9069 0.4069 0.8137
0.5000 0.5000 0.0000



4.
Rb2HgBr6Cl | Alexandria via LeMat-Bulk | PBE | relaxed; ΔE_f (raw) = -0.752 eV per atom; volume = 37.84 A^3/atom; space-group type = No. 139; raw total energy = -2.164 eV per atom
1.0
8.2590 0.0000 0.0000
0.0000 8.2590 0.0000
4.1295 4.1295 5.5479
Br Hg Rb Cl
6 1 2 1
direct
0.2791 0.2791 0.4418
0.7209 0.7209 0.5582
0.2264 0.2264 0.0000
0.7736 0.7736 0.0000
0.7736 0.2264 0.0000
0.2264 0.7736 0.0000
0.0000 0.0000 0.0000
0.7500 0.2500 0.5000
0.2500 0.7500 0.5000
0.5000 0.5000 0.0000



5.
Rb2HgBr3Cl | Alexandria via LeMat-Bulk | PBE | relaxed; ΔE_f (raw) = -1.229 eV per atom; volume = 37.95 A^3/atom; space-group type = No. 71; raw total energy = -2.529 eV per atom
1.0
5.5275 0.0000 0.0000
0.0000 5.6491 0.0000
-2.7637 -2.8246 8.5072
Rb Hg Br Cl
2 1 3 1
direct
0.6335 0.6335 0.2671
0.3665 0.3665 0.7329
0.0000 0.0000 0.0000
0.0000 0.5000 0.0000
0.1625 0.1625 0.3251
0.8375 0.8375 0.6749
0.5000 0.0000 0.0000



6.
RbHgBr2Cl | Alexandria via LeMat-Bulk | PBE | relaxed; ΔE_f (raw) = -0.990 eV per atom; volume = 34.18 A^3/atom; space-group type = No. 123; raw total energy = -2.282 eV per atom
1.0
5.6331 0.0000 0.0000
0.0000 5.6331 0.0000
0.0000 0.0000 5.3859
Br Hg Rb Cl
2 1 1 1
direct
0.0000 0.5000 0.0000
0.5000 0.0000 0.0000
0.0000 0.0000 0.0000
0.5000 0.5000 0.5000
0.0000 0.0000 0.5000